Record 1
Below is a geometry-optimized AsPd15 structure, with properties calculated at the GGA-PBE level.

Cell lengths 3.9073, 3.9096, 43.6039 Å; angles 90.00, 90.00, 90.00 degrees
Closest atoms and distances in Å follow each position.
Element x y z (fractional)
As (0.0000, 0.5000, 0.1656)  8 Pd 2.56-2.79
As (0.0000, 0.0000, 0.8344)  8 Pd 2.56-2.79
Pd (0.5000, 0.0000, 0.1563)  4 As 2.79, 4 Pd 2.83
Pd (0.5000, 0.5000, 0.2034)  2 As 2.56, 10 Pd 2.76-2.83
Pd (0.0000, 0.0000, 0.2034)  2 As 2.56, 10 Pd 2.76-2.83
Pd (0.5000, 0.0000, 0.2499)  12 Pd 2.76-2.82
Pd (0.0000, 0.5000, 0.2502)  12 Pd 2.76-2.83
Pd (0.5000, 0.5000, 0.2960)  12 Pd 2.76-2.80
Pd (0.0000, 0.0000, 0.2961)  12 Pd 2.76-2.80
Pd (0.0000, 0.5000, 0.3414)  12 Pd 2.76-2.78
Pd (0.5000, 0.0000, 0.3415)  12 Pd 2.76-2.78
Pd (0.0000, 0.0000, 0.3868)  12 Pd 2.76-2.78
Pd (0.5000, 0.5000, 0.3868)  12 Pd 2.76-2.78
Pd (0.5000, 0.0000, 0.4319)  12 Pd 2.76-2.79
Pd (0.0000, 0.5000, 0.4320)  12 Pd 2.76-2.79
Pd (0.5000, 0.5000, 0.4775)  12 Pd 2.76-2.79
Pd (0.0000, 0.0000, 0.4776)  12 Pd 2.76-2.79
Pd (0.0000, 0.5000, 0.5225)  12 Pd 2.76-2.79
Pd (0.5000, 0.0000, 0.5225)  12 Pd 2.76-2.79
Pd (0.0000, 0.0000, 0.5680)  12 Pd 2.76-2.79
Pd (0.5000, 0.5000, 0.5682)  12 Pd 2.76-2.79
Pd (0.5000, 0.0000, 0.6132)  12 Pd 2.76-2.78
Pd (0.0000, 0.5000, 0.6132)  12 Pd 2.76-2.78
Pd (0.5000, 0.5000, 0.6585)  12 Pd 2.76-2.78
Pd (0.0000, 0.0000, 0.6586)  12 Pd 2.76-2.78
Pd (0.0000, 0.5000, 0.7040)  12 Pd 2.76-2.80
Pd (0.5000, 0.0000, 0.7040)  12 Pd 2.76-2.80
Pd (0.0000, 0.0000, 0.7497)  12 Pd 2.76-2.83
Pd (0.5000, 0.5000, 0.7500)  12 Pd 2.76-2.82
Pd (0.0000, 0.5000, 0.7966)  2 As 2.56, 10 Pd 2.76-2.83
Pd (0.5000, 0.0000, 0.7966)  2 As 2.56, 10 Pd 2.76-2.83
Pd (0.5000, 0.5000, 0.8437)  4 As 2.79, 4 Pd 2.83

Computed properties:
The space-group type is Pmma (51). For the energy above the most stable polymorph in this dataset, the calculation gives 0.1 kJ per mole of atoms.


Record 2
Below is a geometry-optimized As2Pd structure, with properties calculated at the GGA-PBE level.

Cell lengths 4.3330, 4.3330, 4.3330 Å; angles 60.00, 60.00, 60.00 degrees
Closest atoms and distances in Å follow each position.
Element x y z (fractional)
As (0.2500, 0.2500, 0.2500)  4 Pd 2.65
As (0.7500, 0.7500, 0.7500)  4 Pd 2.65
Pd (0.0000, 0.0000, 0.0000)  8 As 2.65

Computed properties:
The electronic total energy comes out at -15.1 eV per cell. The space-group type is Fm-3m (225).


| no. | mass density (Mg/m³) |
| --- | --- |
| 1 | 8.33 |
| 2 | 7.40 |